Below is a geometry-optimized ZrCoO structure, with properties calculated at the PBE with a Hubbard U level.

Results
Its crystal system is orthorhombic. The value obtained for the total energy is -7.5014 eV/atom. The value obtained for the energy relative to the lowest polymorph listed for this composition is 145 meV per atom. The calculation puts the total magnetization at 4.4 Bohr magnetons per cell. For the mass density, the calculation gives 6.58 g cm⁻³.

abc: 3.3171 11.0234 4.5838
angles: 90.00 90.00 90.00
Space group Cmc2_1 (No. 36)
Inequivalent atoms, fractional coordinates:
1 Zr 0.0000 0.1246 0.0000 x4
2 Co 0.0000 0.4312 0.9804 x4
3 O 0.0000 0.2829 0.7113 x4